Record 1
The following is a DFT calculation (PBE) of crystalline RbUPa2S8 at its relaxed geometry.

The value obtained for the total energy is -80.1 eV/cell. The value obtained for the uncorrected formation energy is -1.3231 eV per atom.

The structure belongs to space group P2/m (No. 10); the cell edges are 6.244, 8.409 and 6.504 Å and the angles 90.00°, 91.43° and 90.00°. The inequivalent atoms are Rb at (0.000, 0.000, 0.000), U at (0.000, 0.500, 0.000), Pa at (0.500, 0.250, 0.500), S at (0.255, 0.294, 0.170), S at (0.276, 0.500, 0.666) and S at (0.277, 0.000, 0.606).

***

Record 2
The following is a DFT calculation (PBE) of crystalline NaTlAg2F8 at its relaxed geometry.

The value obtained for the total energy is -86.4 eV/cell. The value obtained for the uncorrected formation energy is -1.5683 eV per atom.

The structure belongs to space group I-4m2 (No. 119); the cell edges are 5.460, 5.460 and 11.022 Å and the angles 90.00°, 90.00° and 90.00°. The inequivalent atoms are Na at (0.000, 0.000, 0.000), Tl at (0.000, 0.500, 0.250), Ag at (0.000, 0.000, 0.500), Ag at (0.000, 0.500, 0.750) and F at (0.242, 0.251, 0.371).

***

Record 3
The following is a DFT calculation (PBE) of crystalline Pm3DyTh2 at its relaxed geometry.

The value obtained for the total energy is -130.7 eV/cell. As for the energy of formation from the pure elements: 0.169 eV/atom.

The structure belongs to space group Cmcm (No. 63); the cell edges are 6.924, 17.536 and 6.660 Å and the angles 90.00°, 90.00° and 90.00°. The inequivalent atoms are Pm at (0.000, 0.147, 0.250), Pm at (0.249, 0.326, 0.250), Dy at (0.000, 0.354, 0.750) and Th at (0.248, 0.500, 0.000).

***

These records have magnetic moment values of 1.041; 4.129; 0.000 μB/cell, in the order they appear.
These records have density values of 5068; 6016; 8720 kg/m³, in the order they appear.